[1]
An optimized crystal structure of CaPr8Sn6. Source: Alexandria via LeMat-Bulk, functional PBE.

Unit cell a=9.5124 b=9.5124 c=8.5780 alpha=56.33 beta=56.33 gamma=60.00
Fractional positions:
Pr 0.3335 0.3335 0.9994
Pr 0.7694 0.1000 0.7017
Pr 0.6665 0.6665 0.0006
Pr 0.1000 0.4289 0.7017
Pr 0.9000 0.5711 0.2983
Pr 0.4289 0.7694 0.7017
Pr 0.2306 0.9000 0.2983
Pr 0.5711 0.2306 0.2983
Sn 0.0694 0.7355 0.7896
Sn 0.4054 0.0694 0.7896
Sn 0.7355 0.4054 0.7896
Sn 0.5946 0.9306 0.2104
Sn 0.9306 0.2645 0.2104
Sn 0.2645 0.5946 0.2104
Ca 0.0000 0.0000 0.0000

- SG = R-3 (148)
- V (Å³/atom) = 34.42
- M_tot (μB/cell) = 0.000
- DFT formation energy (eV/atom) = -0.59


[2]
An optimized crystal structure of NaPdAu3. Source: Alexandria via LeMat-Bulk, functional PBE.

Unit cell a=5.1152 b=5.1152 c=5.1152 alpha=90.00 beta=90.00 gamma=90.00
Fractional positions:
Au 0.0000 0.0000 0.5000
Au 0.0000 0.5000 0.0000
Au 0.5000 0.0000 0.0000
Na 0.5000 0.5000 0.5000
Pd 0.0000 0.0000 0.0000

- SG = Pm-3m (221)
- V (Å³/atom) = 26.77
- M_tot (μB/cell) = 0.000
- DFT formation energy (eV/atom) = 0.27


[3]
An optimized crystal structure of InPbCl. Source: Alexandria via LeMat-Bulk, functional PBE.

Unit cell a=3.6520 b=3.6520 c=7.3840 alpha=90.00 beta=90.00 gamma=120.00
Fractional positions:
Pb 0.3333 0.6667 0.6436
Cl 0.0000 0.0000 0.0487
In 0.6667 0.3333 0.3077

- SG = P3m1 (156)
- formation energy from raw total energies (meV per atom) = -363
- V (Å³/atom) = 28.43
- M_tot (μB/cell) = 0.000


[4]
An optimized crystal structure of TmSiNiN. Source: Alexandria via LeMat-Bulk, functional PBE.

Unit cell a=3.5971 b=3.5971 c=8.2386 alpha=90.00 beta=90.00 gamma=90.00
Fractional positions:
Ni 0.5000 0.5000 0.5000
Ni 0.0000 0.0000 0.5000
Tm 0.5000 0.0000 0.1506
Tm 0.0000 0.5000 0.8494
N 0.0000 0.5000 0.1214
N 0.5000 0.0000 0.8786
Si 0.5000 0.0000 0.6645
Si 0.0000 0.5000 0.3355

- SG = P4/nmm (129)
- formation energy from raw total energies (meV per atom) = -1127
- V (Å³/atom) = 13.32
- M_tot (μB/cell) = 0.000


[5]
An optimized crystal structure of CoMoCl2. Source: Alexandria via LeMat-Bulk, functional PBE.

Unit cell a=2.9222 b=5.5049 c=4.0617 alpha=90.00 beta=90.00 gamma=90.00
Site moments in Bohr magnetons follow the coordinates.
Fractional positions:
Cl 0.0000 0.0000 0.0000  0.10
Cl 0.5000 0.5000 0.0000  0.00
Co 0.5000 0.0000 0.5000  1.71
Mo 0.0000 0.5000 0.5000  1.23

- SG = Pmmm (47)
- formation energy from raw total energies (meV per atom) = 611
- V (Å³/atom) = 16.33
- M_tot (μB/cell) = 3.185


[6]
An optimized crystal structure of Na2SnI4. Source: Alexandria via LeMat-Bulk, functional PBE.

Unit cell a=4.6581 b=8.1454 c=8.9639 alpha=120.26 beta=105.06 gamma=90.00
Fractional positions:
I 0.1167 0.8032 0.2333
I 0.6350 0.2846 0.2701
I 0.3650 0.7154 0.7299
I 0.8833 0.1968 0.7667
Sn 0.0000 0.0000 0.0000
Na 0.7235 0.7543 0.4469
Na 0.2765 0.2457 0.5531

- SG = C2/m (12)
- formation energy from raw total energies (meV per atom) = -905
- V (Å³/atom) = 40.02
- M_tot (μB/cell) = 0.000